1.
DFT (meta-GGA SCAN) results for a PBEsol-optimized structure of CaP2H6O7.

Cell and atoms, written as extended XYZ:
```
32
Lattice="6.7229 0.0000 0.0000 0.7158 6.9821 0.0000 0.7981 2.9478 7.3524" Properties=species:S:1:pos:R:3 pbc="T T T"
Ca 1.2275 1.7154 1.8958
Ca 7.0093 8.2144 5.4567
P 2.3422 5.0829 2.3226
P 3.3650 8.8058 5.2639
P 4.8717 1.1240 2.0886
P 5.8946 4.8469 5.0298
H 1.5689 5.3010 6.3371
H 1.9585 6.1202 0.1678
H 2.3905 5.4510 3.6836
H 3.1513 5.1450 6.4398
H 3.0758 3.1554 5.0636
H 3.7218 3.3602 1.9614
H 4.5150 6.5696 5.3911
H 5.1610 6.7744 2.2889
H 5.0855 4.7849 0.9126
H 5.8463 4.4788 3.6688
H 6.2782 3.8097 7.1846
H 6.6679 4.6288 1.0153
O 1.2278 4.0751 2.0924
O 2.4429 8.7902 6.5362
O 2.4153 8.3610 4.1661
O 2.3081 5.0190 6.9439
O 2.2376 6.3848 1.5216
O 3.7459 4.4277 1.9978
O 3.6076 1.9590 1.8940
O 4.6292 7.9709 5.4584
O 4.4908 5.5021 5.3547
O 5.9991 3.5450 5.8309
O 5.9286 4.9108 0.4085
O 5.8215 1.5689 3.1863
O 5.7939 1.1396 0.8163
O 7.0090 5.8548 5.2600
```

As for the theoretical density: 2.12 g/cm3. The space group is P-1. The magnetization is 0.00 μB per formula unit. The calculation puts the density of states at the Fermi level at 0.000 states/eV per atom. The total energy comes out at -7.70 eV per atom.



2.
DFT (meta-GGA SCAN) results for a PBEsol-optimized structure of CaPHO4.

Cell and atoms, written as extended XYZ:
```
28
Lattice="6.6242 0.0000 0.0000 0.2146 6.8685 0.0000 0.8109 1.7110 6.7294" Properties=species:S:1:pos:R:3 pbc="T T T"
Ca 0.0000 0.0000 0.0000
Ca 1.3172 3.7106 3.6432
Ca 3.2758 7.1555 4.0735
Ca 5.6635 5.3629 6.3252
P 2.1048 5.1071 6.6393
P 3.3834 0.1145 0.3682
P 4.4751 3.5740 3.1957
P 6.8365 7.2015 3.6835
H 2.2546 2.0140 1.4740
H 4.1422 5.3385 1.8819
H 5.2946 3.1102 5.3310
H 5.7315 1.7656 2.1222
O 0.3869 4.6173 0.0772
O 0.8440 1.4690 4.3168
O 1.2243 3.9773 6.0342
O 1.1171 5.9834 3.4983
O 1.7355 2.9567 1.3806
O 3.2663 8.3444 6.1671
O 3.3560 5.3738 5.8027
O 2.8767 0.7594 1.6677
O 3.3929 2.6529 3.7268
O 3.8163 4.9676 2.8953
O 4.4813 5.7436 0.7128
O 5.2389 2.8154 6.4329
O 5.1635 3.0680 1.9146
O 5.5804 6.9225 4.5096
O 5.5833 3.7668 4.2850
O 6.1928 0.8046 2.2148
```

As for the theoretical density: 2.95 g/cm3. The space group is P1. The magnetization is 0.00 μB per formula unit. The calculation puts the density of states at the Fermi level at 0.000 states/eV per atom. The calculation puts the offset from the most stable computed form at 0.00 eV/f.u.



- Which formula does entry 2 have?
  CaPHO4